## CeVGe2 (PBE)

Data for a relaxed structure of CeVGe2.

Its formation enthalpy at 0 K is -0.514 eV/atom. As for the crystal system: orthorhombic.

The space group is Pnma (No. 62) and the conventional cell measures 7.735, 3.938 and 10.240 Å, with angles of 90.00, 90.00 and 90.00 degrees. The inequivalent atoms are Ce at (0.130, 0.250, 0.138), V at (0.017, 0.750, 0.408), Ge at (0.162, 0.250, 0.801) and Ge at (0.236, 0.250, 0.445).